Record 1
Compound: HfTi2Mn
Source: Alexandria via LeMat-Bulk
Functional: PBE-GGA
Structure: optimized geometry

Energy above the most stable polymorph in this dataset = 38.69 kJ/mol of atoms
Total magnetization = 0.000 μB/atom
Energy relative to the elements = 0.257 eV per atom

Geometry as POSCAR:
```
HfTi2Mn
1.0
7.092 0.000 0.000
0.000 7.092 0.000
3.546 3.546 2.746
Mn Ti Hf
2 4 2
Direct
0.500 0.500 0.000
0.250 0.750 0.500
0.375 0.432 0.750
0.875 0.818 0.750
0.568 0.125 0.250
0.182 0.625 0.250
0.000 0.000 0.000
0.750 0.250 0.500
```


Record 2
Compound: Hf2Al5Ni3
Source: Alexandria via LeMat-Bulk
Functional: PBE-GGA
Structure: optimized geometry

Total magnetization = 0.000 μB/atom
Energy relative to the elements = -0.581 eV per atom

Geometry as POSCAR:
```
Hf2Al5Ni3
1.0
3.960 0.000 -0.675
0.000 6.356 0.000
0.015 0.000 12.048
Hf Al Ni
4 10 6
Direct
0.827 0.219 0.655
0.478 0.765 0.957
0.522 0.265 0.043
0.173 0.719 0.345
0.124 0.249 0.249
0.598 0.902 0.196
0.292 0.917 0.585
0.402 0.402 0.804
0.053 0.597 0.106
0.947 0.097 0.894
0.876 0.749 0.751
0.708 0.417 0.415
0.288 0.506 0.575
0.712 0.006 0.425
0.226 0.207 0.452
0.047 0.987 0.093
0.953 0.487 0.907
0.609 0.516 0.217
0.391 0.016 0.783
0.774 0.707 0.548
```


Record 3
Compound: Pr8ErSc2
Source: Alexandria via LeMat-Bulk
Functional: PBE-GGA
Structure: optimized geometry

Energy above the most stable polymorph in this dataset = 0.00 kJ/mol of atoms
Total magnetization = 0.000 μB/atom
Energy relative to the elements = 0.124 eV per atom

Geometry as POSCAR:
```
Pr8ErSc2
1.0
5.317 0.000 -1.615
-1.048 7.760 -3.451
-0.060 -0.562 9.364
Pr Er Sc
8 1 2
Direct
0.355 0.558 0.711
0.842 0.842 0.683
0.000 0.698 0.000
0.000 0.302 0.000
0.355 0.153 0.711
0.645 0.442 0.289
0.158 0.158 0.317
0.645 0.847 0.289
0.500 0.000 0.000
0.202 0.702 0.403
0.798 0.298 0.597
```


Record 4
Compound: Ti6Ir2Rh
Source: Alexandria via LeMat-Bulk
Functional: PBE-GGA
Structure: optimized geometry

Total magnetization = 0.000 μB/atom
Energy relative to the elements = -0.386 eV per atom

Geometry as POSCAR:
```
Ti6Ir2Rh
1.0
-3.955 1.584 0.311
-1.843 -3.744 -4.384
1.463 -3.364 6.436
Ti Ir Rh
6 2 1
Direct
0.167 0.917 0.334
0.500 0.749 0.000
0.833 0.083 0.666
0.167 0.417 0.334
0.500 0.251 0.000
0.833 0.583 0.666
0.334 0.334 0.667
0.666 0.666 0.333
0.000 0.000 0.000
```


Record 5
Compound: AlTl2C2O6
Source: Alexandria via LeMat-Bulk
Functional: PBE-GGA
Structure: optimized geometry

Energy relative to the elements, uncorrected = -1.29 eV/atom
Total magnetization = 0.032 μB/atom

Geometry as POSCAR:
```
AlTl2C2O6
1.0
4.828 0.000 0.000
-2.414 6.080 1.031
0.000 -2.316 5.795
O C Tl Al
6 2 2 1
Direct
0.100 0.200 0.240
0.716 0.898 0.292
0.818 0.102 0.708
0.284 0.102 0.708
0.900 0.800 0.760
0.182 0.898 0.292
0.003 0.006 0.273
0.997 0.994 0.727
0.289 0.578 0.791
0.711 0.422 0.209
0.500 0.000 0.500
```


Record 6
Compound: V2Cu2Tc
Source: Alexandria via LeMat-Bulk
Functional: PBE-GGA
Structure: optimized geometry

Energy above the most stable polymorph in this dataset = 0.00 kJ/mol of atoms
Total magnetization = 0.080 μB/atom
Energy relative to the elements = 0.276 eV per atom

Geometry as POSCAR:
```
V2Cu2Tc
1.0
-6.452 1.493 0.052
-1.410 -6.163 1.974
0.226 0.876 2.896
Tc V Cu
2 4 4
Direct
0.000 0.000 0.000
0.500 0.500 0.000
0.680 0.820 0.500
0.320 0.180 0.500
0.820 0.320 0.500
0.180 0.680 0.500
0.123 0.377 0.000
0.877 0.623 0.000
0.623 0.123 0.000
0.377 0.877 0.000
```


Record 7
Compound: K3TaCd2O6
Source: Alexandria via LeMat-Bulk
Functional: PBE-GGA
Structure: optimized geometry

Energy relative to the elements, uncorrected = -1.78 eV/atom
Total magnetization = 0.000 μB/atom

Geometry as POSCAR:
```
K3TaCd2O6
1.0
-2.929 4.356 2.615
-2.933 -4.265 -2.757
1.767 -3.278 5.258
O Ta K Cd
6 1 3 2
Direct
0.777 0.777 0.190
0.351 0.063 0.187
0.937 0.649 0.813
0.223 0.223 0.810
0.649 0.937 0.813
0.063 0.351 0.187
0.000 0.000 0.000
0.827 0.173 0.500
0.500 0.500 0.500
0.173 0.827 0.500
0.334 0.666 0.000
0.666 0.334 0.000
```


Record 8
Compound: Ru3RhS
Source: Alexandria via LeMat-Bulk
Functional: PBE-GGA
Structure: optimized geometry

Energy above the most stable polymorph in this dataset = 133.53 kJ/mol of atoms
Energy relative to the elements, uncorrected = 2.05 eV/atom
Total magnetization = 1.035 μB/atom

Geometry as POSCAR:
```
Ru3RhS
1.0
-2.582 -0.806 -3.857
2.366 -4.004 -0.748
-3.150 -2.347 2.600
Ru S Rh
3 1 1
Direct
0.500 0.000 0.000
0.000 0.500 0.000
0.000 0.000 0.500
0.500 0.500 0.500
0.000 0.000 0.000
```